The following is a DFT calculation (PBE) of an optimized crystal structure of Lu2InGe.

The structure in POSCAR format:
```
Lu2InGe
1.0
3.3171 0.0000 0.0000
0.0000 3.3171 0.0000
0.0000 0.0000 8.4637
Lu In Ge
2 1 1
Cartesian
0.0000 0.0000 1.8929
0.0000 0.0000 6.5707
1.6586 1.6586 4.2318
1.6586 1.6586 0.0000
```

* N(E_F): 3.266 states/eV per cell
* uncorrected energy: -4.59 eV per atom
* mass density: 9.582 g/cm³
* space-group type: P4/mmm (123)
* DFT formation energy: -1.97 eV per formula unit